# 1
# YNiBr2

YNiBr2 after structural relaxation (PBE-GGA, the Alexandria database).

```
YNiBr2
1.0
0.000 3.482 3.482
3.482 0.000 3.482
3.482 3.482 0.000
Y Ni Br
1 1 2
Direct
0.000 0.000 0.000
0.500 0.500 0.500
0.250 0.250 0.250
0.750 0.750 0.750
```

## Properties
**Energy relative to the elements, uncorrected**: -0.4001 eV/atom
**SG**: Fm-3m, No. 225
**ΔE to the lowest computed polymorph**: 459.3 meV/atom
**Density of states at the Fermi level**: 6.15 states/eV per cell
**Spin magnetization**: 0.00 μB per formula unit

# 2
# YNiBr

YNiBr after structural relaxation (PBE-GGA, the Alexandria database).

```
YNiBr
1.0
3.316 -1.915 0.000
3.316 1.915 0.000
-2.230 0.000 12.181
Y Ni Br
2 2 2
Direct
0.104 0.104 0.313
0.896 0.896 0.687
0.181 0.181 0.543
0.819 0.819 0.457
0.384 0.384 0.156
0.616 0.616 0.844
```

## Properties
**Energy relative to the elements, uncorrected**: -0.8621 eV/atom
**SG**: C2/m, No. 12
**Density of states at the Fermi level**: 2.80 states/eV per cell
**Spin magnetization**: 0.00 μB per formula unit

# 3
# YNiBr2

YNiBr2 after structural relaxation (PBE-GGA, the Alexandria database).

```
YNiBr2
1.0
2.161 -2.915 0.000
2.161 2.915 0.000
0.000 0.000 8.548
Y Ni Br
1 1 2
Direct
0.000 0.000 0.000
0.500 0.500 0.200
0.000 0.000 0.337
0.500 0.500 0.773
```

## Properties
**Energy relative to the elements, uncorrected**: -0.6844 eV/atom
**SG**: Cmm2, No. 35
**ΔE to the lowest computed polymorph**: 175.0 meV/atom
**Density of states at the Fermi level**: 4.10 states/eV per cell
**Spin magnetization**: 0.10 μB per formula unit

# 4
# YNiBr

YNiBr after structural relaxation (PBE-GGA, the Alexandria database).

```
YNiBr
1.0
0.000 3.260 3.260
3.260 0.000 3.260
3.260 3.260 0.000
Y Ni Br
1 1 1
Direct
0.000 0.000 0.000
0.750 0.750 0.750
0.500 0.500 0.500
```

## Properties
**Energy relative to the elements, uncorrected**: -0.1835 eV/atom
**SG**: F-43m, No. 216
**Density of states at the Fermi level**: 3.21 states/eV per cell
**Spin magnetization**: 0.00 μB per formula unit

# 5
# YNi2Br2

YNi2Br2 after structural relaxation (PBE-GGA, the Alexandria database).

```
YNi2Br2
1.0
-2.230 2.230 4.950
2.230 -2.230 4.950
2.230 2.230 -4.950
Y Ni Br
1 2 2
Direct
0.000 0.000 0.000
0.386 0.386 0.000
0.614 0.614 0.000
0.250 0.750 0.500
0.750 0.250 0.500
```

## Properties
**Energy relative to the elements, uncorrected**: -0.1073 eV/atom
**SG**: I4/mmm, No. 139
**ΔE to the lowest computed polymorph**: 74.5 meV/atom
**Density of states at the Fermi level**: 5.86 states/eV per cell
**Spin magnetization**: 1.00 μB per formula unit

# 6
# YNiBr2

YNiBr2 after structural relaxation (PBE-GGA, the Alexandria database).

```
YNiBr2
1.0
-2.334 2.334 3.927
2.334 -2.334 3.927
2.334 2.334 -3.927
Y Ni Br
1 1 2
Direct
0.000 0.000 0.000
0.500 0.500 0.000
0.250 0.750 0.500
0.750 0.250 0.500
```

## Properties
**Energy relative to the elements, uncorrected**: -0.4120 eV/atom
**SG**: I4/mmm, No. 139
**ΔE to the lowest computed polymorph**: 447.5 meV/atom
**Density of states at the Fermi level**: 2.60 states/eV per cell
**Spin magnetization**: 0.53 μB per formula unit

# 7
# YNiBr2

YNiBr2 after structural relaxation (PBE-GGA, the Alexandria database).

```
YNiBr2
1.0
-2.053 2.053 5.032
2.053 -2.053 5.032
2.053 2.053 -5.032
Y Ni Br
1 1 2
Direct
0.000 0.000 0.000
0.750 0.250 0.500
0.250 0.750 0.500
0.500 0.500 0.000
```

## Properties
**Energy relative to the elements, uncorrected**: -0.4020 eV/atom
**SG**: I-4m2, No. 119
**ΔE to the lowest computed polymorph**: 457.4 meV/atom
**Density of states at the Fermi level**: 2.12 states/eV per cell
**Spin magnetization**: 0.00 μB per formula unit

# 8
# Y3NiBr

Y3NiBr after structural relaxation (PBE-GGA, the Alexandria database).

```
Y3NiBr
1.0
5.315 0.000 0.000
0.000 5.315 0.000
0.000 0.000 5.315
Y Ni Br
3 1 1
Direct
0.000 0.000 0.500
0.000 0.500 0.000
0.500 0.000 0.000
0.000 0.000 0.000
0.500 0.500 0.500
```

## Properties
**Energy relative to the elements, uncorrected**: -0.2435 eV/atom
**SG**: Pm-3m, No. 221
**ΔE to the lowest computed polymorph**: 0.0 meV/atom
**Density of states at the Fermi level**: 1.39 states/eV per cell
**Spin magnetization**: 0.00 μB per formula unit

# 9
# YNiBr2

YNiBr2 after structural relaxation (PBE-GGA, the Alexandria database).

```
YNiBr2
1.0
3.575 0.000 0.000
0.000 3.575 0.000
0.000 0.000 6.607
Y Ni Br
1 1 2
Direct
0.000 0.000 0.000
0.000 0.000 0.500
0.500 0.500 0.247
0.500 0.500 0.753
```

## Properties
**Energy relative to the elements, uncorrected**: -0.3515 eV/atom
**SG**: P4/mmm, No. 123
**ΔE to the lowest computed polymorph**: 507.9 meV/atom
**Density of states at the Fermi level**: 5.73 states/eV per cell
**Spin magnetization**: 0.55 μB per formula unit

# 10
# YNiBr2

YNiBr2 after structural relaxation (PBE-GGA, the Alexandria database).

```
YNiBr2
1.0
0.000 3.541 3.541
3.541 0.000 3.541
3.541 3.541 0.000
Y Ni Br
1 1 2
Direct
0.000 0.000 0.000
0.250 0.250 0.250
0.500 0.500 0.500
0.750 0.750 0.750
```

## Properties
**Energy relative to the elements, uncorrected**: -0.2617 eV/atom
**SG**: F-43m, No. 216
**ΔE to the lowest computed polymorph**: 597.8 meV/atom
**Density of states at the Fermi level**: 3.85 states/eV per cell
**Spin magnetization**: 0.00 μB per formula unit

# 11
# YNiBr

YNiBr after structural relaxation (PBE-GGA, the Alexandria database).

```
YNiBr
1.0
3.793 0.000 0.000
-1.896 3.285 0.000
0.000 0.000 5.936
Y Ni Br
1 1 1
Direct
0.000 0.000 0.000
0.333 0.667 0.735
0.667 0.333 0.345
```

## Properties
**Energy relative to the elements, uncorrected**: -0.5188 eV/atom
**SG**: P3m1, No. 156
**Spin magnetization**: 0.00 μB per formula unit

# 12
# Y4NiBr

Y4NiBr after structural relaxation (PBE-GGA, the Alexandria database).

```
Y4NiBr
1.0
0.000 4.480 4.480
4.480 0.000 4.480
4.480 4.480 0.000
Y Ni Br
4 1 1
Direct
0.376 0.376 0.376
0.376 0.376 0.871
0.376 0.871 0.376
0.871 0.376 0.376
0.750 0.750 0.750
0.000 0.000 0.000
```

## Properties
**Energy relative to the elements, uncorrected**: 0.6243 eV/atom
**SG**: F-43m, No. 216
**Density of states at the Fermi level**: 9.04 states/eV per cell
**Spin magnetization**: 0.00 μB per formula unit